The following is a DFT calculation (GGA+U) of CrOF after structural relaxation.

a b c (Å): 3.053 3.951 6.152
angles (deg): 90.00 90.00 90.00
Space group Pmmn (No. 59, origin choice 2)
Asymmetric unit:
Cr 0.250 0.250 0.143 x2
O 0.250 0.750 0.074 x2
F 0.250 0.750 0.653 x2

Final energy = -7.07 eV per atom
Spin magnetization = 3.00 μB/f.u.